Entry from the Alexandria database: a crystal of BaSrI4 relaxed with PBEsol (SCAN).

The formation energy (no corrections) comes out at -1826 meV/atom. Its volume is 1094 Å³/cell.

a = 8.1294 Å, b = 13.9340 Å, c = 9.6590 Å
α = 90.00°, β = 90.00°, γ = 90.00°
With the nearest neighbours (Å) after each atom.
Space group Pbcn (No. 60)
Unique sites:
1 Ba 0.0000 0.1818 0.2500  6 I 3.39-3.63
2 Sr 0.0000 0.5000 0.0000  6 I 3.23-3.30
3 I 0.1242 0.2780 0.5547  1 Sr 3.30, 2 Ba 3.39-3.63
4 I 0.2377 0.0256 0.7520  2 Sr 3.23-3.26, 1 Ba 3.48

---

Entry from the Alexandria database: a crystal of MnRePCl2 relaxed with PBEsol (SCAN).

The formation energy (no corrections) comes out at 371 meV/atom. Its volume is 105 Å³/cell.

a = 4.7854 Å, b = 4.7854 Å, c = 4.6032 Å
α = 90.00°, β = 90.00°, γ = 90.00°
With the nearest neighbours (Å) after each atom.
Space group P4/mmm (No. 123)
Unique sites:
1 Mn 0.0000 0.0000 0.0000  8 Cl 3.32, 4 P 3.38
2 Re 0.5000 0.5000 0.5000  2 P 2.30, 4 Cl 2.39
3 P 0.5000 0.5000 0.0000  2 Re 2.30
4 Cl 0.0000 0.5000 0.5000  2 Re 2.39

---

Entry from the Alexandria database: a crystal of Sc2ZnIr relaxed with PBEsol (SCAN).

The calculation puts the polymorph energy (0 for the lowest one) at 0.000 eV per atom. Its calculated formation energy is -0.90 eV/atom. Its volume is 271 Å³/cell.

a = 6.4681 Å, b = 6.4681 Å, c = 6.4681 Å
α = 90.00°, β = 90.00°, γ = 90.00°
With the nearest neighbours (Å) after each atom.
Space group Fm-3m (No. 225)
Unique sites:
1 Sc 0.2500 0.2500 0.2500  4 Ir 2.80, 4 Zn 2.80
2 Zn 0.0000 0.0000 0.0000  8 Sc 2.80
3 Ir 0.0000 0.0000 0.5000  8 Sc 2.80

---

Entry from the Alexandria database: a crystal of CaYIr relaxed with PBEsol (SCAN).

The calculation puts the polymorph energy (0 for the lowest one) at 0.177 eV per atom. Its calculated formation energy is -0.44 eV/atom. Its volume is 87 Å³/cell.

a = 4.0095 Å, b = 4.0095 Å, c = 6.2751 Å
α = 90.00°, β = 90.00°, γ = 120.00°
With the nearest neighbours (Å) after each atom.
Space group P3m1 (No. 156)
Unique sites:
1 Ca 0.0000 0.0000 0.0000  3 Ir 2.82
2 Y 0.6667 0.3333 0.5271  3 Ir 2.68
3 Ir 0.3333 0.6667 0.7436  3 Y 2.68, 3 Ca 2.82

---

Entry from the Alexandria database: a crystal of BaCrAg2 relaxed with PBEsol (SCAN).

The calculation puts the polymorph energy (0 for the lowest one) at 0.000 eV per atom. Its calculated formation energy is 0.16 eV/atom. Its volume is 92 Å³/cell.

a = 3.5250 Å, b = 3.5250 Å, c = 7.4030 Å
α = 90.00°, β = 90.00°, γ = 90.00°
With the nearest neighbours (Å) after each atom.
Space group P4/mmm (No. 123)
Unique sites:
1 Ba 0.0000 0.0000 0.0000  8 Ag 3.41, 4 Ba 3.53, 2 Cr 3.70
2 Cr 0.0000 0.0000 0.5000  8 Ag 2.84
3 Ag 0.5000 0.5000 0.3150  1 Ag 2.74, 4 Cr 2.84

---

Entry from the Alexandria database: a crystal of RhPb5 relaxed with PBEsol (SCAN).

The calculation puts the polymorph energy (0 for the lowest one) at 0.015 eV per atom. Its calculated formation energy is 0.05 eV/atom. Its volume is 313 Å³/cell.

a = 11.8954 Å, b = 3.3709 Å, c = 8.4620 Å
α = 90.00°, β = 112.92°, γ = 90.00°
With the nearest neighbours (Å) after each atom.
Space group Cm (No. 8)
Unique sites:
1 Rh 0.0000 0.0000 0.0000  8 Pb 2.83-2.98
2 Pb 0.0005 0.0000 0.5003  12 Pb 3.33-3.68
3 Pb 0.1328 0.5000 0.8663  2 Rh 2.83
4 Pb 0.1657 0.5000 0.2860  2 Rh 2.98, 1 Pb 3.27
5 Pb 0.3346 0.0000 0.7141  2 Rh 2.98, 1 Pb 3.27
6 Pb 0.3677 0.0000 0.1343  2 Rh 2.83

---

Entry from the Alexandria database: a crystal of Al2CuOsCl relaxed with PBEsol (SCAN).

The formation energy (no corrections) comes out at 1490 meV/atom. Its volume is 89 Å³/cell.

a = 4.5366 Å, b = 4.5366 Å, c = 4.3222 Å
α = 90.00°, β = 90.00°, γ = 90.00°
With the nearest neighbours (Å) after each atom.
Space group P4/mmm (No. 123)
Unique sites:
1 Al 0.0000 0.5000 0.0000  2 Cl 2.27
2 Cu 0.0000 0.0000 0.5000  8 Al 3.13, 4 Os 3.21
3 Os 0.5000 0.5000 0.5000  2 Cl 2.16
4 Cl 0.5000 0.5000 0.0000  2 Os 2.16, 4 Al 2.27

---

Entry from the Alexandria database: a crystal of Zr3CdO relaxed with PBEsol (SCAN).

The formation energy (no corrections) comes out at -1210 meV/atom. Its volume is 88 Å³/cell.

a = 4.4426 Å, b = 4.4426 Å, c = 4.4426 Å
α = 90.00°, β = 90.00°, γ = 90.00°
With the nearest neighbours (Å) after each atom.
Space group Pm-3m (No. 221)
Unique sites:
1 Zr 0.0000 0.0000 0.5000  2 O 2.22
2 Cd 0.5000 0.5000 0.5000  12 Zr 3.14
3 O 0.0000 0.0000 0.0000  6 Zr 2.22

---

Entry from the Alexandria database: a crystal of Hf2ReHgAs relaxed with PBEsol (SCAN).

Its calculated formation energy is 1.86 eV/atom. Its volume is 122 Å³/cell.

a = 5.1234 Å, b = 5.1234 Å, c = 4.6576 Å
α = 90.00°, β = 90.00°, γ = 90.00°
With the nearest neighbours (Å) after each atom.
Space group P4/mmm (No. 123)
Unique sites:
1 Hf 0.0000 0.5000 0.0000  2 Hg 2.56
2 Re 0.0000 0.0000 0.5000  8 Hf 3.46, 4 As 3.62
3 Hg 0.5000 0.5000 0.0000  2 As 2.33, 4 Hf 2.56
4 As 0.5000 0.5000 0.5000  2 Hg 2.33

---

Entry from the Alexandria database: a crystal of IrRuRh2 relaxed with PBEsol (SCAN).

The calculation puts the polymorph energy (0 for the lowest one) at 0.027 eV per atom. Its calculated formation energy is 0.00 eV/atom. Its volume is 54 Å³/cell.

a = 3.7787 Å, b = 3.7787 Å, c = 3.7954 Å
α = 90.00°, β = 90.00°, γ = 90.00°
With the nearest neighbours (Å) after each atom.
Space group P4/mmm (No. 123)
Unique sites:
1 Ir 0.0000 0.0000 0.0000  4 Ru 2.67, 8 Rh 2.68
2 Ru 0.5000 0.5000 0.0000  4 Ir 2.67, 8 Rh 2.68
3 Rh 0.0000 0.5000 0.5000  4 Rh 2.67, 4 Ir 2.68, 4 Ru 2.68

---

Entry from the Alexandria database: a crystal of K3Y relaxed with PBEsol (SCAN).

Its calculated formation energy is 0.34 eV/atom. Its volume is 606 Å³/cell.

a = 3.9630 Å, b = 3.9630 Å, c = 44.5237 Å
α = 90.00°, β = 90.00°, γ = 120.00°
With the nearest neighbours (Å) after each atom.
Space group R-3m (No. 166, hexagonal axes)
Unique sites:
1 K 0.0000 0.0000 0.0000  6 K 3.96
2 K 0.0000 0.0000 0.2426  6 K 3.96, 3 Y 4.08
3 Y 0.0000 0.0000 0.5000  6 Y 3.96, 6 K 4.08

---

Entry from the Alexandria database: a crystal of LiFeHg2 relaxed with PBEsol (SCAN).

Its calculated formation energy is 0.17 eV/atom. Its volume is 270 Å³/cell.

a = 6.4670 Å, b = 6.4670 Å, c = 6.4670 Å
α = 90.00°, β = 90.00°, γ = 90.00°
With the nearest neighbours (Å) after each atom.
Space group F-43m (No. 216)
Unique sites:
1 Li 0.0000 0.0000 0.0000  4 Fe 2.80, 4 Hg 2.80
2 Fe 0.2500 0.2500 0.7500  4 Hg 2.80, 4 Li 2.80
3 Hg 0.0000 0.0000 0.5000  4 Hg 2.80, 4 Fe 2.80
4 Hg 0.2500 0.2500 0.2500  4 Li 2.80, 4 Hg 2.80